{"formula": "KO4", "functional": "PBE-GGA", "state": "optimized geometry", "magnetic_moment_mub_per_cell": 7.0, "e_form_raw_ev_per_atom": 1.487, "e_above_lowest_polymorph_mev_per_atom": 1982, "space_group": "Pm-3m", "lattice": [[5.1153, 0.0000, 0.0000], [0.0000, 5.1153, 0.0000], [0.0000, 0.0000, 5.1153]], "species": ["K", "O", "O", "O", "O"], "fractional_positions": [[0.0000, 0.0000, 0.0000], [0.0000, 0.0000, 0.5000], [0.0000, 0.5000, 0.0000], [0.5000, 0.0000, 0.0000], [0.5000, 0.5000, 0.5000]]}

***

{"formula": "K2O", "functional": "PBE-GGA", "state": "optimized geometry", "magnetic_moment_mub_per_cell": 0.2, "e_form_raw_ev_per_atom": -0.968, "space_group": "P-3", "lattice": [[7.0574, 0.0000, 0.0000], [-3.5287, 6.1119, 0.0000], [0.0000, 0.0000, 4.5054]], "species": ["K", "K", "K", "K", "K", "K", "O", "O", "O"], "fractional_positions": [[0.0691, 0.3709, 0.2562], [0.3018, 0.9309, 0.2562], [0.3709, 0.3018, 0.7438], [0.6291, 0.6982, 0.2562], [0.6982, 0.0691, 0.7438], [0.9309, 0.6291, 0.7438], [0.0000, 0.0000, 0.5000], [0.3333, 0.6667, 0.7501], [0.6667, 0.3333, 0.2499]]}

***

{"formula": "K3O", "functional": "PBE-GGA", "state": "optimized geometry", "magnetic_moment_mub_per_cell": 0.0, "e_form_raw_ev_per_atom": -0.738, "space_group": "Imm2", "lattice": [[-1.8209, 6.4771, 3.8225], [1.8209, -6.4771, 3.8225], [1.8209, 6.4771, -3.8225]], "species": ["K", "K", "K", "O"], "fractional_positions": [[0.0000, 0.0000, 0.0000], [0.2456, 0.3724, 0.8732], [0.4992, 0.3724, 0.1268], [0.2480, 0.7480, 0.5000]]}

***

{"formula": "KO", "functional": "PBE-GGA", "state": "optimized geometry", "magnetic_moment_mub_per_cell": 0.2, "e_form_raw_ev_per_atom": -1.033, "space_group": "P-62m", "lattice": [[7.1330, 0.0000, 0.0000], [-3.5665, 6.1774, 0.0000], [0.0000, 0.0000, 5.1441]], "species": ["K", "K", "K", "K", "K", "K", "O", "O", "O", "O", "O", "O"], "fractional_positions": [[0.0000, 0.3651, 0.0000], [0.0000, 0.7047, 0.5000], [0.2953, 0.2953, 0.5000], [0.3651, 0.0000, 0.0000], [0.6349, 0.6349, 0.0000], [0.7047, 0.0000, 0.5000], [0.0000, 0.0000, 0.1490], [0.0000, 0.0000, 0.8510], [0.3333, 0.6667, 0.3503], [0.3333, 0.6667, 0.6497], [0.6667, 0.3333, 0.3503], [0.6667, 0.3333, 0.6497]]}

***

{"formula": "KO4", "functional": "PBE-GGA", "state": "optimized geometry", "magnetic_moment_mub_per_cell": 3.0, "e_form_raw_ev_per_atom": -0.495, "e_above_lowest_polymorph_mev_per_atom": 0, "space_group": "C2/m", "lattice": [[5.1097, -2.4147, 0.0000], [5.1097, 2.4147, 0.0000], [-1.0327, 0.0000, 3.2894]], "species": ["K", "O", "O", "O", "O"], "fractional_positions": [[0.0000, 0.0000, 0.0000], [0.2269, 0.4924, 0.3622], [0.4924, 0.2269, 0.3622], [0.5076, 0.7731, 0.6378], [0.7731, 0.5076, 0.6378]]}

***

{"formula": "KO2", "functional": "PBE-GGA", "state": "optimized geometry", "magnetic_moment_mub_per_cell": 2.0, "e_form_raw_ev_per_atom": -0.828, "e_above_lowest_polymorph_mev_per_atom": 41, "space_group": "Pmma", "lattice": [[7.2432, 0.0000, 0.0000], [0.0000, 3.4693, 0.0000], [0.0000, 0.0000, 3.8728]], "species": ["K", "K", "O", "O", "O", "O"], "fractional_positions": [[0.2500, 0.0000, 0.1578], [0.7500, 0.0000, 0.8422], [0.0532, 0.5000, 0.6445], [0.4468, 0.5000, 0.6445], [0.5532, 0.5000, 0.3555], [0.9468, 0.5000, 0.3555]]}

***

{"formula": "K2O", "functional": "PBE-GGA", "state": "optimized geometry", "magnetic_moment_mub_per_cell": 0.0, "e_form_raw_ev_per_atom": -1.024, "space_group": "R-3m", "lattice": [[2.2888, 1.3214, 3.7474], [-2.2888, 1.3214, 3.7474], [0.0000, -2.6428, 3.7474]], "species": ["K", "K", "O"], "fractional_positions": [[0.2499, 0.2499, 0.2499], [0.7501, 0.7501, 0.7501], [0.0000, 0.0000, 0.0000]]}

***

{"formula": "KO2", "functional": "PBE-GGA", "state": "optimized geometry", "magnetic_moment_mub_per_cell": 4.0, "e_form_raw_ev_per_atom": -0.825, "e_above_lowest_polymorph_mev_per_atom": 44, "space_group": "Pa-3", "lattice": [[6.2253, 0.0000, 0.0000], [0.0000, 6.2253, 0.0000], [0.0000, 0.0000, 6.2253]], "species": ["K", "K", "K", "K", "O", "O", "O", "O", "O", "O", "O", "O"], "fractional_positions": [[0.0000, 0.0000, 0.0000], [0.0000, 0.5000, 0.5000], [0.5000, 0.0000, 0.5000], [0.5000, 0.5000, 0.0000], [0.0629, 0.5629, 0.9371], [0.0629, 0.9371, 0.4371], [0.4371, 0.0629, 0.9371], [0.4371, 0.4371, 0.4371], [0.5629, 0.5629, 0.5629], [0.5629, 0.9371, 0.0629], [0.9371, 0.0629, 0.5629], [0.9371, 0.4371, 0.0629]]}

***

{"formula": "KO", "functional": "PBE-GGA", "state": "optimized geometry", "magnetic_moment_mub_per_cell": 0.0, "e_form_raw_ev_per_atom": -0.986, "space_group": "Cmcm", "lattice": [[1.8855, -6.7263, 0.0000], [1.8855, 6.7263, 0.0000], [0.0000, 0.0000, 5.9492]], "species": ["K", "K", "K", "K", "O", "O", "O", "O"], "fractional_positions": [[0.0045, 0.9955, 0.7500], [0.2515, 0.7485, 0.2500], [0.7485, 0.2515, 0.7500], [0.9955, 0.0045, 0.2500], [0.3758, 0.6242, 0.6208], [0.3758, 0.6242, 0.8792], [0.6242, 0.3758, 0.1208], [0.6242, 0.3758, 0.3792]]}

***

{"formula": "K2O", "functional": "PBE-GGA", "state": "optimized geometry", "magnetic_moment_mub_per_cell": 0.2, "e_form_raw_ev_per_atom": -0.973, "space_group": "P6_3mc", "lattice": [[4.2303, 0.0000, 0.0000], [-2.1151, 3.6635, 0.0000], [0.0000, 0.0000, 9.7896]], "species": ["K", "K", "K", "K", "O", "O"], "fractional_positions": [[0.0000, 0.0000, 0.0000], [0.0000, 0.0000, 0.5000], [0.3333, 0.6667, 0.2247], [0.6667, 0.3333, 0.7247], [0.3333, 0.6667, 0.6098], [0.6667, 0.3333, 0.1098]]}

***

{"formula": "KO", "functional": "PBE-GGA", "state": "optimized geometry", "magnetic_moment_mub_per_cell": 0.7, "e_form_raw_ev_per_atom": -0.781, "space_group": "Cmmm", "lattice": [[1.7724, -8.3657, 0.0000], [1.7724, 8.3657, 0.0000], [0.0000, 0.0000, 3.9662]], "species": ["K", "K", "K", "O", "O", "O"], "fractional_positions": [[0.0000, 0.0000, 0.0000], [0.3369, 0.6631, 0.5000], [0.6631, 0.3369, 0.5000], [0.2314, 0.7686, 0.0000], [0.5000, 0.5000, 0.5000], [0.7686, 0.2314, 0.0000]]}

***

{"formula": "KO2", "functional": "PBE-GGA", "state": "optimized geometry", "magnetic_moment_mub_per_cell": 1.0, "e_form_raw_ev_per_atom": -0.869, "e_above_lowest_polymorph_mev_per_atom": 0, "space_group": "I4/mmm", "lattice": [[-1.9788, 1.9788, 3.3850], [1.9788, -1.9788, 3.3850], [1.9788, 1.9788, -3.3850]], "species": ["K", "O", "O"], "fractional_positions": [[0.0000, 0.0000, 0.0000], [0.4000, 0.4000, 0.0000], [0.6000, 0.6000, 0.0000]]}

***

{"formula": "K4O", "functional": "PBE-GGA", "state": "optimized geometry", "magnetic_moment_mub_per_cell": 0.0, "e_form_raw_ev_per_atom": -0.449, "e_above_lowest_polymorph_mev_per_atom": 120, "space_group": "Pm-3m", "lattice": [[5.8062, 0.0000, 0.0000], [0.0000, 5.8062, 0.0000], [0.0000, 0.0000, 5.8062]], "species": ["K", "K", "K", "K", "O"], "fractional_positions": [[0.0000, 0.0000, 0.0000], [0.0000, 0.5000, 0.5000], [0.5000, 0.0000, 0.5000], [0.5000, 0.5000, 0.0000], [0.5000, 0.5000, 0.5000]]}

***

{"formula": "K5O", "functional": "PBE-GGA", "state": "optimized geometry", "magnetic_moment_mub_per_cell": 0.0, "e_form_raw_ev_per_atom": -0.385, "e_above_lowest_polymorph_mev_per_atom": 70, "space_group": "Cmmm", "lattice": [[1.8767, -15.7625, 0.0000], [1.8767, 15.7625, 0.0000], [0.0000, 0.0000, 4.8257]], "species": ["K", "K", "K", "K", "K", "O"], "fractional_positions": [[0.0000, 0.0000, 0.0000], [0.0637, 0.9363, 0.5000], [0.3174, 0.6826, 0.0000], [0.6826, 0.3174, 0.0000], [0.9363, 0.0637, 0.5000], [0.5000, 0.5000, 0.5000]]}

***

{"formula": "K2O3", "functional": "PBE-GGA", "state": "optimized geometry", "magnetic_moment_mub_per_cell": 4.0, "e_form_raw_ev_per_atom": -0.951, "space_group": "I-43d", "lattice": [[-4.4673, 4.4673, 4.4673], [4.4673, -4.4673, 4.4673], [4.4673, 4.4673, -4.4673]], "species": ["K", "K", "K", "K", "K", "K", "K", "K", "O", "O", "O", "O", "O", "O", "O", "O", "O", "O", "O", "O"], "fractional_positions": [[0.0000, 0.3965, 0.5000], [0.0000, 0.8965, 0.5000], [0.1035, 0.1035, 0.1035], [0.3965, 0.5000, 0.0000], [0.5000, 0.0000, 0.3965], [0.5000, 0.0000, 0.8965], [0.6035, 0.6035, 0.6035], [0.8965, 0.5000, 0.0000], [0.0463, 0.7500, 0.7963], [0.2037, 0.7500, 0.9537], [0.2500, 0.5463, 0.2963], [0.2500, 0.7037, 0.4537], [0.2963, 0.2500, 0.5463], [0.4537, 0.2500, 0.7037], [0.5463, 0.2963, 0.2500], [0.7037, 0.4537, 0.2500], [0.7500, 0.7963, 0.0463], [0.7500, 0.9537, 0.2037], [0.7963, 0.0463, 0.7500], [0.9537, 0.2037, 0.7500]]}

***

{"formula": "KO", "functional": "PBE-GGA", "state": "optimized geometry", "magnetic_moment_mub_per_cell": 0.0, "e_form_raw_ev_per_atom": -0.913, "space_group": "Fddd", "lattice": [[0.0000, 4.3644, 5.5621], [2.9642, 0.0000, 5.5621], [2.9642, 4.3644, 0.0000]], "species": ["K", "K", "K", "K", "O", "O", "O", "O"], "fractional_positions": [[0.0906, 0.6594, 0.0906], [0.3406, 0.9094, 0.3406], [0.6594, 0.0906, 0.6594], [0.9094, 0.3406, 0.9094], [0.2450, 0.5050, 0.5050], [0.4950, 0.7550, 0.7550], [0.5050, 0.2450, 0.2450], [0.7550, 0.4950, 0.4950]]}

***

{"formula": "KO", "functional": "PBE-GGA", "state": "optimized geometry", "magnetic_moment_mub_per_cell": 0.0, "e_form_raw_ev_per_atom": -0.660, "space_group": "I4/mmm", "lattice": [[-4.6996, 4.6996, 1.8915], [4.6996, -4.6996, 1.8915], [4.6996, 4.6996, -1.8915]], "species": ["K", "K", "K", "K", "O", "O", "O", "O"], "fractional_positions": [[0.0000, 0.2512, 0.2512], [0.0000, 0.7488, 0.7488], [0.2512, 0.0000, 0.2512], [0.7488, 0.0000, 0.7488], [0.2740, 0.2740, 0.5479], [0.2740, 0.7260, 0.0000], [0.7260, 0.2740, 0.0000], [0.7260, 0.7260, 0.4521]]}

***

{"formula": "K2O", "functional": "PBE-GGA", "state": "optimized geometry", "magnetic_moment_mub_per_cell": 0.1, "e_form_raw_ev_per_atom": -0.974, "space_group": "P4_2/nmc", "lattice": [[9.3653, 0.0000, 0.0000], [0.0000, 9.3653, 0.0000], [0.0000, 0.0000, 6.6605]], "species": ["K", "K", "K", "K", "K", "K", "K", "K", "K", "K", "K", "K", "K", "K", "K", "K", "O", "O", "O", "O", "O", "O", "O", "O"], "fractional_positions": [[0.0001, 0.9999, 0.2500], [0.9999, 0.0001, 0.7500], [0.0001, 0.5001, 0.2500], [0.9999, 0.4999, 0.7500], [0.2500, 0.2500, 0.2504], [0.2500, 0.2500, 0.7504], [0.2500, 0.7500, 0.9996], [0.2500, 0.7500, 0.5004], [0.4999, 0.9999, 0.2500], [0.5001, 0.0001, 0.7500], [0.4999, 0.5001, 0.2500], [0.5001, 0.4999, 0.7500], [0.7500, 0.2500, 0.0004], [0.7500, 0.2500, 0.4996], [0.7500, 0.7500, 0.2496], [0.7500, 0.7500, 0.7496], [0.0175, 0.2500, 0.0005], [0.2500, 0.0175, 0.5005], [0.2500, 0.4825, 0.5005], [0.4825, 0.2500, 0.0005], [0.5175, 0.7500, 0.9995], [0.7500, 0.5175, 0.4995], [0.7500, 0.9825, 0.4995], [0.9825, 0.7500, 0.9995]]}

***

{"formula": "KO2", "functional": "PBE-GGA", "state": "optimized geometry", "magnetic_moment_mub_per_cell": 3.0, "e_form_raw_ev_per_atom": 0.462, "e_above_lowest_polymorph_mev_per_atom": 1332, "space_group": "P4/mmm", "lattice": [[3.9187, 0.0000, 0.0000], [0.0000, 3.9187, 0.0000], [0.0000, 0.0000, 5.5722]], "species": ["K", "O", "O"], "fractional_positions": [[0.0000, 0.0000, 0.0000], [0.0000, 0.0000, 0.5000], [0.5000, 0.5000, 0.0000]]}

***

{"formula": "KO8", "functional": "PBE-GGA", "state": "optimized geometry", "magnetic_moment_mub_per_cell": 4.3, "e_form_raw_ev_per_atom": 0.192, "space_group": "I4/mmm", "lattice": [[-3.6968, 3.6968, 2.8009], [3.6968, -3.6968, 2.8009], [3.6968, 3.6968, -2.8009]], "species": ["K", "O", "O", "O", "O", "O", "O", "O", "O"], "fractional_positions": [[0.0000, 0.0000, 0.0000], [0.0000, 0.4156, 0.4156], [0.0000, 0.5844, 0.5844], [0.3937, 0.3937, 0.7875], [0.3937, 0.6063, 0.0000], [0.4156, 0.0000, 0.4156], [0.5844, 0.0000, 0.5844], [0.6063, 0.3937, 0.0000], [0.6063, 0.6063, 0.2125]]}